DFT (PBE-GGA) results for a relaxed structure of Ba3SrLi4.

Output
The space group is P4/mmm (123). As for the crystal system: tetragonal.

Cell lengths 4.3686, 4.3686, 17.5303 Å; angles 90.00, 90.00, 90.00 degrees
With the nearest neighbours (Å) after each atom.
Atoms (fractional coordinates):
1 Ba 0.0000 0.0000 0.0000  8 Li 3.82
2 Ba 0.0000 0.0000 0.2546  8 Li 3.81-3.87
3 Ba 0.0000 0.0000 0.7454  8 Li 3.81-3.87
4 Sr 0.0000 0.0000 0.5000  8 Li 3.67
5 Li 0.5000 0.5000 0.1277  8 Ba 3.81-3.82
6 Li 0.5000 0.5000 0.3874  4 Sr 3.67, 4 Ba 3.87, 1 Li 3.95
7 Li 0.5000 0.5000 0.6126  4 Sr 3.67, 4 Ba 3.87, 1 Li 3.95
8 Li 0.5000 0.5000 0.8723  8 Ba 3.81-3.82

=====

DFT (PBE-GGA) results for a relaxed structure of BaSr4Li4.

Output
The space group is P4_2/n (86). As for the crystal system: tetragonal.

Cell lengths 10.7439, 10.7439, 6.9651 Å; angles 90.00, 90.00, 90.00 degrees
With the nearest neighbours (Å) after each atom.
Atoms (fractional coordinates):
1 Ba 0.2500 0.2500 0.2500  4 Li 3.42
2 Ba 0.7500 0.7500 0.7500  4 Li 3.42
3 Sr 0.0704 0.6647 0.1268  5 Li 3.40-3.78
4 Sr 0.1647 0.9296 0.6268  5 Li 3.40-3.78
5 Sr 0.3353 0.5704 0.6268  5 Li 3.40-3.78
6 Sr 0.4296 0.8353 0.1268  5 Li 3.40-3.78
7 Sr 0.5704 0.1647 0.8732  5 Li 3.40-3.78
8 Sr 0.6647 0.4296 0.3732  5 Li 3.40-3.78
9 Sr 0.8353 0.0704 0.3732  5 Li 3.40-3.78
10 Sr 0.9296 0.3353 0.8732  5 Li 3.40-3.78
11 Li 0.0213 0.6087 0.6136  1 Li 2.86
12 Li 0.1087 0.9787 0.1136  1 Li 2.86
13 Li 0.3913 0.5213 0.1136  1 Li 2.86
14 Li 0.4787 0.8913 0.6136  1 Li 2.86
15 Li 0.5213 0.1087 0.3864  1 Li 2.86
16 Li 0.6087 0.4787 0.8864  1 Li 2.86
17 Li 0.8913 0.0213 0.8864  1 Li 2.86
18 Li 0.9787 0.3913 0.3864  1 Li 2.86

=====

DFT (PBE-GGA) results for a relaxed structure of Ba3SrLi.

Output
The space group is P2_1/m (11). For the energy relative to the lowest polymorph listed for this composition, the calculation gives 0.004 eV per atom. As for the crystal system: monoclinic.

Cell lengths 11.0948, 4.5288, 11.1042 Å; angles 90.00, 103.17, 90.00 degrees
With the nearest neighbours (Å) after each atom.
Atoms (fractional coordinates):
1 Ba 0.1301 0.2500 0.1506  2 Li 3.74
2 Ba 0.1776 0.7500 0.5126  3 Li 3.75-3.76
3 Ba 0.3319 0.7500 0.9189  2 Li 3.60
4 Ba 0.6681 0.2500 0.0811  2 Li 3.60
5 Ba 0.8224 0.2500 0.4874  3 Li 3.75-3.76
6 Ba 0.8699 0.7500 0.8494  2 Li 3.74
7 Sr 0.4817 0.7500 0.3261  8 Ba 4.34-4.55, 4 Sr 4.41-4.53
8 Sr 0.5183 0.2500 0.6739  8 Ba 4.34-4.55, 4 Sr 4.41-4.53
9 Li 0.0999 0.2500 0.7541  7 Ba 3.60-3.76
10 Li 0.9001 0.7500 0.2459  7 Ba 3.60-3.76

=====

no.,formation energy from the elements (eV per atom),final energy (eV/atom)
1,0.0450,-1.843
2,0.1481,-1.664
3,0.0423,-1.830